TlBiP3 after structural relaxation. Source: the Alexandria database, functional PBE.

The structure in CIF format:
```
data_TlBiP3
_chemical_formula_sum 'Tl1 Bi1 P3'
_space_group_name_H-M_alt 'P m -3 m'
_space_group_IT_number 221
_space_group_name_Hall '-P 4 2 3'
_cell_length_a 5.326
_cell_length_b 5.326
_cell_length_c 5.326
_cell_angle_alpha 90.00
_cell_angle_beta 90.00
_cell_angle_gamma 90.00
loop_
_atom_site_label
_atom_site_type_symbol
_atom_site_fract_x
_atom_site_fract_y
_atom_site_fract_z
Tl1 Tl 0.000 0.000 0.000
Bi1 Bi 0.500 0.500 0.500
P1 P 0.000 0.500 0.500
```

DOS at the Fermi energy = 7.2 states/eV per cell
Calculated formation energy = 1.10 eV per atom